A plane-wave DFT calculation with PBE was carried out for a relaxed CaLaScSi2 crystal.

a = 5.206 Å, b = 5.216 Å, c = 5.206 Å
α = 90.00°, β = 90.00°, γ = 90.00°
Sites, in units of the cell vectors:
La1 0.000 0.500 0.000
Sc1 0.500 0.500 0.500
Ca1 0.000 0.000 0.000
Si1 0.500 0.000 0.000
Si2 0.000 0.000 0.500

Properties
SG	P4/mmm
total magnetization	0.00	μB per cell
uncorrected formation energy	458	kJ/mol of formula units


A plane-wave DFT calculation with PBE was carried out for a relaxed CaLaSmSc crystal.

a = 5.739 Å, b = 5.739 Å, c = 5.739 Å
α = 60.00°, β = 60.00°, γ = 60.00°
Sites, in units of the cell vectors:
Sc1 0.000 0.000 0.000
Ca1 0.500 0.500 0.500
Sm1 0.250 0.250 0.250
La1 0.750 0.750 0.750

Properties
SG	F-43m
energy of formation from the pure elements	0.13	eV per atom
total magnetization	0.00	μB per cell


A plane-wave DFT calculation with PBE was carried out for a relaxed SrCaLaSc2 crystal.

a = 5.501 Å, b = 6.083 Å, c = 5.501 Å
α = 90.00°, β = 90.00°, γ = 90.00°
Sites, in units of the cell vectors:
Sc1 0.000 0.000 0.500
La1 0.000 0.000 0.000
Sc2 0.500 0.000 0.000
Sr1 0.000 0.500 0.000
Ca1 0.500 0.500 0.500

Properties
SG	P4/mmm
energy of formation from the pure elements	0.65	eV per atom
total magnetization	0.00	μB per cell


A plane-wave DFT calculation with PBE was carried out for a relaxed CaLa2ScTc crystal.

a = 5.526 Å, b = 5.526 Å, c = 5.328 Å
α = 90.00°, β = 90.00°, γ = 90.00°
Sites, in units of the cell vectors:
La1 0.500 0.000 0.000
Ca1 0.500 0.500 0.500
Tc1 0.000 0.000 0.000
La2 0.000 0.500 0.000
Sc1 0.000 0.000 0.500

Properties
SG	P4/mmm
energy of formation from the pure elements	0.02	eV per atom
total magnetization	0.00	μB per cell


A plane-wave DFT calculation with PBE was carried out for a relaxed CaLaSc2Tc crystal.

a = 5.332 Å, b = 5.332 Å, c = 4.774 Å
α = 90.00°, β = 90.00°, γ = 90.00°
Each line ends with the local moment (μB).
Sites, in units of the cell vectors:
Ca1 0.000 0.000 0.000  0.02
Tc1 0.000 0.000 0.500  0.37
Sc1 0.000 0.500 0.000  -0.02
La1 0.500 0.500 0.500  -0.01
Sc2 0.500 0.000 0.000  -0.02

Properties
SG	P4/mmm
energy of formation from the pure elements	1.13	eV per atom
energy above the most stable polymorph in this dataset	1102	meV per atom
total magnetization	0.32	μB per cell


A plane-wave DFT calculation with PBE was carried out for a relaxed CaLaSc2Tc crystal.

a = 5.239 Å, b = 5.239 Å, c = 5.393 Å
α = 90.00°, β = 90.00°, γ = 90.00°
Sites, in units of the cell vectors:
Sc1 0.500 0.000 0.000
Ca1 0.500 0.500 0.500
Sc2 0.000 0.500 0.000
Tc1 0.000 0.000 0.000
La1 0.000 0.000 0.500

Properties
SG	P4/mmm
energy of formation from the pure elements	0.03	eV per atom
energy above the most stable polymorph in this dataset	0	meV per atom
total magnetization	0.00	μB per cell


A plane-wave DFT calculation with PBE was carried out for a relaxed CaLaTmSc crystal.

a = 5.684 Å, b = 5.684 Å, c = 5.684 Å
α = 60.00°, β = 60.00°, γ = 60.00°
Sites, in units of the cell vectors:
La1 0.750 0.750 0.750
Ca1 0.500 0.500 0.500
Sc1 0.000 0.000 0.000
Tm1 0.250 0.250 0.250

Properties
SG	F-43m
energy of formation from the pure elements	0.15	eV per atom
total magnetization	0.00	μB per cell


A plane-wave DFT calculation with PBE was carried out for a relaxed CaLaSe2 crystal.

a = 4.235 Å, b = 4.235 Å, c = 7.468 Å
α = 73.61°, β = 73.61°, γ = 59.98°
Sites, in units of the cell vectors:
Ca1 0.250 0.250 0.250
Se1 0.504 0.504 0.489
La1 0.750 0.750 0.750
Se2 0.996 0.996 0.011

Properties
SG	C2/m
energy above the most stable polymorph in this dataset	10	meV per atom
total magnetization	0.00	μB per cell
uncorrected formation energy	-760	kJ/mol of formula units


A plane-wave DFT calculation with PBE was carried out for a relaxed Ca3LaSe4 crystal.

a = 4.232 Å, b = 7.348 Å, c = 7.348 Å
α = 109.42°, β = 90.00°, γ = 90.00°
Sites, in units of the cell vectors:
Se1 0.000 0.256 0.256
La1 0.500 0.000 0.000
Ca1 0.000 0.500 0.000
Se2 0.000 0.744 0.744
Se3 0.500 0.252 0.748
Ca2 0.500 0.500 0.500
Se4 0.500 0.748 0.252
Ca3 0.000 0.000 0.500

Properties
SG	Cmmm
energy above the most stable polymorph in this dataset	0	meV per atom
total magnetization	0.00	μB per cell
uncorrected formation energy	-1532	kJ/mol of formula units


A plane-wave DFT calculation with PBE was carried out for a relaxed Ca3LaSe4 crystal.

a = 6.003 Å, b = 6.003 Å, c = 7.347 Å
α = 114.11°, β = 114.11°, γ = 90.00°
Sites, in units of the cell vectors:
Se1 0.000 0.500 0.000
Ca1 0.500 0.500 0.000
La1 0.000 0.000 0.000
Se2 0.500 0.000 0.000
Ca2 0.250 0.750 0.500
Se3 0.253 0.253 0.507
Se4 0.747 0.747 0.493
Ca3 0.750 0.250 0.500

Properties
SG	I4/mmm
energy above the most stable polymorph in this dataset	4	meV per atom
total magnetization	0.00	μB per cell
uncorrected formation energy	-1530	kJ/mol of formula units


A plane-wave DFT calculation with PBE was carried out for a relaxed CaLaSe2 crystal.

a = 3.686 Å, b = 3.687 Å, c = 7.393 Å
α = 87.07°, β = 90.00°, γ = 90.00°
Sites, in units of the cell vectors:
La1 0.500 0.500 0.750
Se1 0.000 0.980 0.002
Se2 0.000 0.020 0.498
Ca1 0.500 0.500 0.250

Properties
SG	P2/m
energy above the most stable polymorph in this dataset	258	meV per atom
total magnetization	0.00	μB per cell
uncorrected formation energy	-664	kJ/mol of formula units


A plane-wave DFT calculation with PBE was carried out for a relaxed CaLaSe2 crystal.

a = 6.468 Å, b = 6.468 Å, c = 4.411 Å
α = 89.99°, β = 89.99°, γ = 36.54°
Sites, in units of the cell vectors:
Se1 0.007 0.007 0.875
Ca1 0.488 0.488 0.375
La1 0.750 0.750 0.875
Se2 0.255 0.255 0.375

Properties
SG	Amm2
energy above the most stable polymorph in this dataset	176	meV per atom
total magnetization	0.00	μB per cell
uncorrected formation energy	-696	kJ/mol of formula units


Number 1: density of states at the Fermi level 1.09 states/eV/atom. Number 2: density of states at the Fermi level 1.40 states/eV/atom. Number 3: density of states at the Fermi level 1.14 states/eV/atom. Number 4: density of states at the Fermi level 0.84 states/eV/atom. Number 5: density of states at the Fermi level 1.31 states/eV/atom. Number 6: density of states at the Fermi level 0.68 states/eV/atom. Number 7: density of states at the Fermi level 1.60 states/eV/atom. Number 8: density of states at the Fermi level 0.45 states/eV/atom. Number 9: density of states at the Fermi level 0.36 states/eV/atom. Number 10: density of states at the Fermi level 0.38 states/eV/atom. Number 11: density of states at the Fermi level 0.52 states/eV/atom. Number 12: density of states at the Fermi level 0.39 states/eV/atom.